## SrAcLu (PBE)

Data for crystalline SrAcLu at its relaxed geometry.

POSCAR file:
```
SrAcLu
1.0
-1.032 2.968 2.362
-3.431 -1.774 0.730
5.546 -4.430 4.717
Sr Ac Lu
1 1 1
direct
0.008 0.008 0.016
0.318 0.318 0.635
0.674 0.674 0.349
```

## Properties
The value obtained for the energy relative to the lowest polymorph listed for this composition is 0.000 eV/atom. The value obtained for the energy of formation from the pure elements is 0.13 eV per atom. As for the density: 6.5 g/cm³. As for the total energy: -9.91 eV per cell.

---

## ThScTcHg (PBE)

Data for crystalline ThScTcHg at its relaxed geometry.

POSCAR file:
```
ThScTcHg
1.0
-0.700 1.635 2.942
-0.180 -3.019 1.635
7.435 0.396 1.549
Th Sc Tc Hg
1 1 1 1
direct
0.500 0.500 0.780
0.500 0.500 0.349
0.000 0.000 0.548
0.000 0.000 0.107
```

## Properties
The value obtained for the energy relative to the lowest polymorph listed for this composition is 0.000 eV/atom. The value obtained for the energy of formation from the pure elements is -0.28 eV per atom. As for the density: 10.6 g/cm³. As for the total energy: -25.53 eV per cell.

---

## Be2IrPt2 (PBE)

Data for crystalline Be2IrPt2 at its relaxed geometry.

POSCAR file:
```
Be2IrPt2
1.0
3.769 0.000 0.000
0.000 3.769 0.000
1.885 1.885 4.657
Be Ir Pt
2 1 2
direct
0.386 0.386 0.228
0.614 0.614 0.772
0.000 0.000 0.000
0.750 0.250 0.500
0.250 0.750 0.500
```

## Properties
The value obtained for the energy relative to the lowest polymorph listed for this composition is 0.424 eV/atom. The value obtained for the energy of formation from the pure elements is -0.03 eV per atom. As for the density: 15.1 g/cm³. As for the total energy: -28.52 eV per cell.

---

## CrBTeI2 (PBE)

Data for crystalline CrBTeI2 at its relaxed geometry.

POSCAR file:
```
CrBTeI2
1.0
5.032 0.000 0.000
0.000 5.032 0.000
0.000 0.000 5.077
I Cr B Te
2 1 1 1
direct
0.000 0.500 0.000
0.500 0.000 0.000
0.500 0.500 0.500
0.000 0.000 0.000
0.000 0.000 0.500
```

## Properties
For the uncorrected formation energy, the calculation gives 0.95 eV per atom. The value obtained for the energy relative to the lowest polymorph listed for this composition is 0.000 eV/atom. As for the density: 5.7 g/cm³. As for the total energy: -17.81 eV per cell.

---

## Na2HOF (PBE)

Data for crystalline Na2HOF at its relaxed geometry.

POSCAR file:
```
Na2HOF
1.0
3.329 0.000 0.000
0.000 6.011 0.296
0.000 -2.135 6.292
Na H O F
4 2 2 2
direct
0.750 0.804 0.574
0.750 0.824 0.084
0.250 0.196 0.426
0.250 0.176 0.916
0.250 0.601 0.785
0.750 0.399 0.215
0.250 0.769 0.818
0.750 0.231 0.182
0.250 0.792 0.323
0.750 0.208 0.677
```

## Properties
As for the density: 2.1 g/cm³. As for the total energy: -44.19 eV per cell.

---

## CaCd6F12 (PBE)

Data for crystalline CaCd6F12 at its relaxed geometry.

POSCAR file:
```
CaCd6F12
1.0
-2.473 5.356 3.441
-5.092 -4.458 0.921
4.495 -2.371 4.563
Ca Cd F
1 6 12
direct
0.000 0.000 0.000
0.138 0.311 0.607
0.689 0.393 0.862
0.393 0.862 0.689
0.862 0.689 0.393
0.311 0.607 0.138
0.607 0.138 0.311
0.422 0.176 0.579
0.176 0.579 0.422
0.579 0.422 0.176
0.578 0.824 0.421
0.824 0.421 0.578
0.421 0.578 0.824
0.061 0.918 0.681
0.319 0.939 0.082
0.082 0.319 0.939
0.939 0.082 0.319
0.681 0.061 0.918
0.918 0.681 0.061
```

## Properties
For the uncorrected formation energy, the calculation gives -2.28 eV per atom. As for the density: 5.2 g/cm³. As for the total energy: -73.29 eV per cell.

---

## Rb2BaNa2 (PBE)

Data for crystalline Rb2BaNa2 at its relaxed geometry.

POSCAR file:
```
Rb2BaNa2
1.0
11.701 0.000 0.000
0.000 11.701 0.000
0.000 0.000 4.445
Na Ba Rb
4 2 4
direct
0.175 0.675 0.500
0.675 0.825 0.500
0.825 0.325 0.500
0.325 0.175 0.500
0.000 0.000 0.000
0.500 0.500 0.000
0.371 0.871 0.000
0.871 0.629 0.000
0.629 0.129 0.000
0.129 0.371 0.000
```

## Properties
The value obtained for the energy relative to the lowest polymorph listed for this composition is 0.017 eV/atom. The value obtained for the energy of formation from the pure elements is 0.11 eV per atom. As for the density: 1.9 g/cm³. As for the total energy: -11.88 eV per cell.

---

## CaCd2Re (PBE)

Data for crystalline CaCd2Re at its relaxed geometry.

POSCAR file:
```
CaCd2Re
1.0
3.979 0.000 0.000
0.000 4.545 0.000
0.000 0.000 4.545
Re Ca Cd
1 1 2
direct
0.500 0.500 0.000
0.500 0.000 0.500
0.000 0.000 0.000
0.000 0.500 0.500
```

## Properties
The value obtained for the energy relative to the lowest polymorph listed for this composition is 0.124 eV/atom. The value obtained for the energy of formation from the pure elements is 0.53 eV per atom. As for the density: 9.1 g/cm³. As for the total energy: -14.14 eV per cell.

---

Which formula does entry 1 have? SrAcLu